<w>
# CdHgSb2

A geometry-optimized CdHgSb2 structure (GGA-PBE, the Alexandria database).

Unit cell a=5.999 b=5.999 c=5.999 alpha=141.40 beta=127.88 gamma=66.70
Atoms (fractional coordinates):
Sb 0.996 0.996 0.000
Sb 0.504 0.504 0.000
Cd 0.750 0.250 0.500
Hg 0.250 0.750 0.500

Properties
Total magnetic moment = 0.0 μB/f.u.
Crystal system = orthorhombic
Density = 8.82 g/cm³

=====

<x>
# CdHgSb2

A geometry-optimized CdHgSb2 structure (GGA-PBE, the Alexandria database).

Unit cell a=6.188 b=3.164 c=6.467 alpha=66.33 beta=90.00 gamma=90.00
Atoms (fractional coordinates):
Cd 0.000 0.578 0.625
Hg 0.500 0.654 0.624
Sb 0.000 0.126 0.127
Sb 0.500 0.142 0.124

Properties
Total magnetic moment = 0.0 μB/f.u.
Crystal system = monoclinic
Density = 7.97 g/cm³

=====

Of the structures shown above, <x> is the most stable.